Compound: Cs2V3MoF12
Source: the Alexandria database
Functional: PBE with a Hubbard U
Structure: relaxed

```
Cs2V3MoF12
1.0
3.8333 2.2132 6.2742
-3.8333 2.2132 6.2742
0.0000 -4.4263 6.2742
Cs V Mo F
2 3 1 12
direct
0.1144 0.1144 0.1144 Cs
0.8856 0.8856 0.8856 Cs
0.0000 0.5000 0.5000 V
0.5000 0.0000 0.5000 V
0.5000 0.5000 0.0000 V
0.5000 0.5000 0.5000 Mo
0.1718 0.5764 0.5764 F
0.1841 0.1841 0.5781 F
0.1841 0.5781 0.1841 F
0.4219 0.8159 0.8159 F
0.4236 0.4236 0.8282 F
0.4236 0.8282 0.4236 F
0.5764 0.1718 0.5764 F
0.5764 0.5764 0.1718 F
0.5781 0.1841 0.1841 F
0.8159 0.4219 0.8159 F
0.8159 0.8159 0.4219 F
0.8282 0.4236 0.4236 F
```

Summary:
**Total energy**: -0.424 Ry per atom

***

Compound: Cs2VMoF6
Source: the Alexandria database
Functional: PBE with a Hubbard U
Structure: relaxed

```
Cs2VMoF6
1.0
-3.1508 3.1508 4.3682
3.1508 -3.1508 4.3682
3.1508 3.1508 -4.3682
Cs V Mo F
2 1 1 6
direct
0.2500 0.7500 0.5000 Cs
0.7500 0.2500 0.5000 Cs
0.0000 0.0000 0.0000 V
0.5000 0.5000 0.0000 Mo
0.2416 0.2416 0.4832 F
0.2416 0.7584 0.0000 F
0.2487 0.2487 0.0000 F
0.7513 0.7513 0.0000 F
0.7584 0.2416 0.0000 F
0.7584 0.7584 0.5168 F
```

Summary:
**Total energy**: -0.382 Ry per atom

***

Compound: CsZn2MoF8
Source: the Alexandria database
Functional: PBE with a Hubbard U
Structure: relaxed

```
CsZn2MoF8
1.0
2.7476 1.5863 8.2300
-2.7476 1.5863 8.2300
0.0000 -3.1727 8.2300
Cs Zn Mo F
1 2 1 8
direct
0.0000 0.0000 0.0000 Cs
0.2440 0.2440 0.2440 Zn
0.7560 0.7560 0.7560 Zn
0.5000 0.5000 0.5000 Mo
0.1304 0.7567 0.4661 F
0.2433 0.5339 0.8696 F
0.3193 0.3193 0.3193 F
0.4661 0.1304 0.7567 F
0.5339 0.8696 0.2433 F
0.6807 0.6807 0.6807 F
0.7567 0.4661 0.1304 F
0.8696 0.2433 0.5339 F
```

Summary:
**Total energy**: -0.336 Ry per atom

***

Compound: Cs2Zn3MoF12
Source: the Alexandria database
Functional: PBE with a Hubbard U
Structure: relaxed

```
Cs2Zn3MoF12
1.0
3.7389 2.1587 6.5092
-3.7389 2.1587 6.5092
0.0000 -4.3173 6.5092
Cs Zn Mo F
2 3 1 12
direct
0.1055 0.1055 0.1055 Cs
0.8945 0.8945 0.8945 Cs
0.0000 0.5000 0.5000 Zn
0.5000 0.0000 0.5000 Zn
0.5000 0.5000 0.0000 Zn
0.5000 0.5000 0.5000 Mo
0.1833 0.1833 0.5764 F
0.1833 0.5764 0.1833 F
0.1844 0.5743 0.5743 F
0.4236 0.8167 0.8167 F
0.4257 0.4257 0.8156 F
0.4257 0.8156 0.4257 F
0.5743 0.1844 0.5743 F
0.5743 0.5743 0.1844 F
0.5764 0.1833 0.1833 F
0.8156 0.4257 0.4257 F
0.8167 0.4236 0.8167 F
0.8167 0.8167 0.4236 F
```

Summary:
**Total energy**: -0.326 Ry per atom

***

Compound: CsZnMoF6
Source: the Alexandria database
Functional: PBE with a Hubbard U
Structure: relaxed

```
CsZnMoF6
1.0
-3.7904 3.8958 5.4794
3.7904 -3.8958 5.4794
3.7904 3.8958 -5.4794
Cs Zn Mo F
2 2 2 12
direct
0.3468 0.0968 0.2500 Cs
0.6532 0.9032 0.7500 Cs
0.0000 0.0000 0.5000 Zn
0.0000 0.5000 0.0000 Zn
0.0000 0.5000 0.5000 Mo
0.5000 0.5000 0.0000 Mo
0.0572 0.8072 0.2500 F
0.0634 0.4150 0.2374 F
0.0634 0.8260 0.6485 F
0.3225 0.1740 0.7374 F
0.3225 0.5850 0.1485 F
0.3268 0.5768 0.7500 F
0.6732 0.4232 0.2500 F
0.6775 0.4150 0.8515 F
0.6775 0.8260 0.2626 F
0.9366 0.1740 0.3515 F
0.9366 0.5850 0.7626 F
0.9428 0.1928 0.7500 F
```

Summary:
**Total energy**: -0.358 Ry per atom

***

Compound: Cs2ZrMoF6
Source: the Alexandria database
Functional: PBE with a Hubbard U
Structure: relaxed

```
Cs2ZrMoF6
1.0
-3.2036 3.2036 4.5911
3.2036 -3.2036 4.5911
3.2036 3.2036 -4.5911
Cs Zr Mo F
2 1 1 6
direct
0.2500 0.7500 0.5000 Cs
0.7500 0.2500 0.5000 Cs
0.0000 0.0000 0.0000 Zr
0.5000 0.5000 0.0000 Mo
0.2478 0.2478 0.4956 F
0.2478 0.7522 0.0000 F
0.2629 0.2629 0.0000 F
0.7371 0.7371 0.0000 F
0.7522 0.2478 0.0000 F
0.7522 0.7522 0.5044 F
```

Summary:
**Total energy**: -0.383 Ry per atom

***

Please write out number 4 again, unchanged.
Compound: Cs2Zn3MoF12
Source: the Alexandria database
Functional: PBE with a Hubbard U
Structure: relaxed

```
Cs2Zn3MoF12
1.0
3.7389 2.1587 6.5092
-3.7389 2.1587 6.5092
0.0000 -4.3173 6.5092
Cs Zn Mo F
2 3 1 12
direct
0.1055 0.1055 0.1055 Cs
0.8945 0.8945 0.8945 Cs
0.0000 0.5000 0.5000 Zn
0.5000 0.0000 0.5000 Zn
0.5000 0.5000 0.0000 Zn
0.5000 0.5000 0.5000 Mo
0.1833 0.1833 0.5764 F
0.1833 0.5764 0.1833 F
0.1844 0.5743 0.5743 F
0.4236 0.8167 0.8167 F
0.4257 0.4257 0.8156 F
0.4257 0.8156 0.4257 F
0.5743 0.1844 0.5743 F
0.5743 0.5743 0.1844 F
0.5764 0.1833 0.1833 F
0.8156 0.4257 0.4257 F
0.8167 0.4236 0.8167 F
0.8167 0.8167 0.4236 F
```

Summary:
**Total energy**: -0.326 Ry per atom

***

What is the formula in the first record?
Cs2V3MoF12

***

total energy of number 4 (Cs2Zn3MoF12)?
-0.326 Ry per atom